[1]
# TbPm5Tl6 (PBE-GGA, optimized geometry)
data_TbPm5Tl6
_chemical_formula_sum 'Tb1 Pm5 Tl6'
_cell_length_a 5.474
_cell_length_b 9.467
_cell_length_c 9.489
_cell_angle_alpha 60.05
_cell_angle_beta 73.20
_cell_angle_gamma 54.55
_symmetry_space_group_name_H-M 'P 1'
_symmetry_Int_Tables_number 1
_symmetry_space_group_name_Hall 'P 1'
loop_
_atom_site_label
_atom_site_fract_x
_atom_site_fract_y
_atom_site_fract_z
_atom_site_occupancy
Tb1 0.000 0.000 0.000 1
Pm1 0.500 0.169 0.662 1
Pm2 0.000 0.334 0.332 1
Pm3 0.500 0.500 0.000 1
Pm4 0.000 0.666 0.668 1
Pm5 0.500 0.831 0.338 1
Tl1 0.753 0.082 0.330 1
Tl2 0.247 0.588 0.329 1
Tl3 0.256 0.244 0.000 1
Tl4 0.744 0.756 0.000 1
Tl5 0.753 0.412 0.671 1
Tl6 0.247 0.918 0.670 1
# crystal system	monoclinic
# ρ	10.096	Mg/m³
# total DFT energy (no corrections)	-47.15	eV per cell
# SG	C2/m
# total magnetic moment	0.00	μB per atom

=====

[2]
# Ag3PdBr (PBE-GGA, optimized geometry)
data_Ag3PdBr
_chemical_formula_sum 'Ag3 Pd1 Br1'
_cell_length_a 5.104
_cell_length_b 5.104
_cell_length_c 5.104
_cell_angle_alpha 90.00
_cell_angle_beta 90.00
_cell_angle_gamma 90.00
_symmetry_space_group_name_H-M 'P 1'
_symmetry_Int_Tables_number 1
_symmetry_space_group_name_Hall 'P 1'
loop_
_atom_site_label
_atom_site_fract_x
_atom_site_fract_y
_atom_site_fract_z
_atom_site_occupancy
Br1 0.000 0.000 0.000 1
Pd1 0.500 0.500 0.500 1
Ag1 0.000 0.500 0.000 1
Ag2 0.000 0.000 0.500 1
Ag3 0.500 0.000 0.000 1
# crystal system	cubic
# ρ	6.370	Mg/m³
# total DFT energy (no corrections)	-11.17	eV per cell
# E_form (uncorrected)	849.6	meV per atom
# SG	Pm-3m
# total magnetic moment	0.00	μB per atom

=====

[3]
# La2Ta2O9 (PBE-GGA, optimized geometry)
data_La2Ta2O9
_chemical_formula_sum 'La2 Ta2 O9'
_cell_length_a 8.099
_cell_length_b 8.099
_cell_length_c 6.752
_cell_angle_alpha 69.28
_cell_angle_beta 69.28
_cell_angle_gamma 28.03
_symmetry_space_group_name_H-M 'P 1'
_symmetry_Int_Tables_number 1
_symmetry_space_group_name_Hall 'P 1'
loop_
_atom_site_label
_atom_site_fract_x
_atom_site_fract_y
_atom_site_fract_z
_atom_site_occupancy
La1 0.694 0.694 0.813 1
La2 0.306 0.306 0.187 1
Ta1 0.960 0.960 0.804 1
Ta2 0.040 0.040 0.196 1
O1 0.922 0.922 0.154 1
O2 0.078 0.078 0.846 1
O3 0.452 0.452 0.836 1
O4 0.548 0.548 0.164 1
O5 0.000 0.000 0.500 1
O6 0.825 0.825 0.916 1
O7 0.175 0.175 0.084 1
O8 0.277 0.277 0.568 1
O9 0.723 0.723 0.432 1
# crystal system	monoclinic
# ρ	6.714	Mg/m³
# total DFT energy (no corrections)	-114.89	eV per cell
# E_form (uncorrected)	-2823.5	meV per atom
# SG	C2/m
# total magnetic moment	0.16	μB per atom

=====

Q: Which value of total DFT energy (no corrections) does entry 3 give?
A: -114.89 eV per cell

=====

Q: Which value of total magnetic moment does entry 1 give?
A: 0.00 μB per atom